(1)
Zr3TiCo: relaxed, GGA-PBEsol.

Values from the calculation:
formation energy: 1180 meV/atom
crystal system: cubic
SG: Pm-3m (221)
ρ: 5.79 g/cm3
final energy: -37.43 eV/cell
DOS(E_F): 1.821 states/eV/atom

Unit cell a=4.7791 b=4.7791 c=4.7791 alpha=90.00 beta=90.00 gamma=90.00
With the nearest neighbours (Å) after each atom.
Positions (direct):
Co  0.5000  0.5000  0.5000  12 Zr 3.38
Zr  0.0000  0.5000  0.0000  2 Ti 2.39
Zr  0.0000  0.0000  0.5000  2 Ti 2.39
Zr  0.5000  0.0000  0.0000  2 Ti 2.39
Ti  0.0000  0.0000  0.0000  6 Zr 2.39

(2)
ZrTiCo3: relaxed, GGA-PBEsol.

Values from the calculation:
formation energy: 476 meV/atom
crystal system: cubic
SG: Pm-3m (221)
ρ: 7.12 g/cm3
final energy: -38.24 eV/cell
DOS(E_F): 1.124 states/eV/atom

Unit cell a=4.1917 b=4.1917 c=4.1917 alpha=90.00 beta=90.00 gamma=90.00
With the nearest neighbours (Å) after each atom.
Positions (direct):
Co  0.0000  0.5000  0.0000  2 Ti 2.10
Co  0.0000  0.0000  0.5000  2 Ti 2.10
Co  0.5000  0.0000  0.0000  2 Ti 2.10
Zr  0.5000  0.5000  0.5000  12 Co 2.96
Ti  0.0000  0.0000  0.0000  6 Co 2.10

(3)
TlCo3: relaxed, GGA-PBEsol.

Values from the calculation:
formation energy: 459 meV/atom
crystal system: monoclinic
SG: C2/m (12)
ρ: 11.90 g/cm3
final energy: -24.00 eV/cell
DOS(E_F): 1.507 states/eV/atom

Unit cell a=2.8386 b=4.4387 c=4.5818 alpha=102.80 beta=90.00 gamma=108.65
With the nearest neighbours (Å) after each atom.
Positions (direct):
Tl  0.0000  0.0000  0.0000  10 Co 2.66-2.73, 2 Tl 2.84
Co  0.5000  0.0000  0.5000  6 Co 2.43-2.60, 4 Tl 2.69
Co  0.2350  0.4701  0.6989  5 Co 2.37-2.60
Co  0.7650  0.5299  0.3011  5 Co 2.37-2.60

(4)
Tl2Co3: relaxed, GGA-PBEsol.

Values from the calculation:
formation energy: 443 meV/atom
crystal system: trigonal
SG: P-3m1 (164)
ρ: 10.77 g/cm3
final energy: -26.26 eV/cell
DOS(E_F): 0.844 states/eV/atom

Unit cell a=3.9048 b=3.9048 c=6.8355 alpha=90.00 beta=90.00 gamma=120.00
With the nearest neighbours (Å) after each atom.
Positions (direct):
Co  0.0000  0.0000  0.0000  6 Co 2.30
Co  0.3333  0.6667  0.0702  6 Co 2.30-2.45
Co  0.6667  0.3333  0.9298  6 Co 2.30-2.45
Tl  0.3333  0.6667  0.6718  4 Co 2.72-2.86
Tl  0.6667  0.3333  0.3282  4 Co 2.72-2.86

(5)
TlCo: relaxed, GGA-PBEsol.

Values from the calculation:
formation energy: 424 meV/atom
crystal system: tetragonal
SG: P4/nmm (129)
ρ: 12.17 g/cm3
final energy: -19.04 eV/cell
DOS(E_F): 0.749 states/eV/atom

Unit cell a=3.0453 b=3.0453 c=7.7498 alpha=90.00 beta=90.00 gamma=90.00
With the nearest neighbours (Å) after each atom.
Positions (direct):
Co  0.5000  0.0000  0.0634  4 Co 2.37
Co  0.0000  0.5000  0.9366  4 Co 2.37
Tl  0.5000  0.0000  0.6849  5 Co 2.91-2.93, 4 Tl 3.05
Tl  0.0000  0.5000  0.3151  5 Co 2.91-2.93, 4 Tl 3.05

(6)
TlCo: relaxed, GGA-PBEsol.

Values from the calculation:
formation energy: 645 meV/atom
crystal system: hexagonal
SG: P-6m2 (187)
ρ: 13.11 g/cm3
final energy: -9.08 eV/cell
DOS(E_F): 1.135 states/eV/atom

Unit cell a=3.1093 b=3.1093 c=3.9828 alpha=90.00 beta=90.00 gamma=120.00
With the nearest neighbours (Å) after each atom.
Positions (direct):
Tl  0.3333  0.6667  0.5000  6 Co 2.68
Co  0.0000  0.0000  0.0000  6 Tl 2.68

(7)
TlCo5: relaxed, GGA-PBEsol.

Values from the calculation:
formation energy: 350 meV/atom
crystal system: monoclinic
SG: Cm (8)
ρ: 11.31 g/cm3
final energy: -39.22 eV/cell
DOS(E_F): 1.122 states/eV/atom

Unit cell a=2.7263 b=4.8657 c=5.9975 alpha=105.76 beta=90.00 gamma=106.27
With the nearest neighbours (Å) after each atom.
Positions (direct):
Co  0.0025  0.0050  0.9641  6 Co 2.43-2.65, 3 Tl 2.59-2.64
Co  0.3258  0.6517  0.6431  9 Co 2.43-2.58, 1 Tl 2.70
Co  0.6481  0.2963  0.3391  7 Co 2.39-2.65
Co  0.6082  0.2163  0.7152  8 Co 2.33-2.58
Co  0.9576  0.9152  0.4297  6 Co 2.33-2.43
Tl  0.2911  0.5821  0.0755  10 Co 2.59-2.71, 2 Tl 2.73

(8)
TlCo3: relaxed, GGA-PBEsol.

Values from the calculation:
formation energy: 408 meV/atom
crystal system: tetragonal
SG: P4/mmm (123)
ρ: 11.94 g/cm3
final energy: -24.21 eV/cell
DOS(E_F): 1.215 states/eV/atom

Unit cell a=2.9013 b=2.9013 c=6.2984 alpha=90.00 beta=90.00 gamma=90.00
With the nearest neighbours (Å) after each atom.
Positions (direct):
Tl  0.5000  0.5000  0.0000  8 Co 2.79, 4 Tl 2.90
Co  0.0000  0.0000  0.7003  5 Co 2.41-2.52
Co  0.5000  0.5000  0.5000  8 Co 2.41
Co  0.0000  0.0000  0.2997  5 Co 2.41-2.52

(9)
TlCoW2: relaxed, GGA-PBEsol.

Values from the calculation:
formation energy: 616 meV/atom
crystal system: tetragonal
ΔE to the lowest computed polymorph: 0 meV/atom
SG: P4/mmm (123)
ρ: 16.77 g/cm3
final energy: -35.52 eV/cell
DOS(E_F): 0.616 states/eV/atom

Unit cell a=2.8154 b=2.8154 c=7.8838 alpha=90.00 beta=90.00 gamma=90.00
With the nearest neighbours (Å) after each atom.
Positions (direct):
Co  0.5000  0.5000  0.0000  8 W 2.58, 4 Co 2.82
Tl  0.5000  0.5000  0.5000  4 Tl 2.82, 8 W 3.04
W  0.0000  0.0000  0.7915  4 Co 2.58, 4 W 2.82
W  0.0000  0.0000  0.2085  4 Co 2.58, 4 W 2.82

(10)
TlCoW2: relaxed, GGA-PBEsol.

Values from the calculation:
formation energy: 823 meV/atom
crystal system: monoclinic
ΔE to the lowest computed polymorph: 207 meV/atom
SG: C2/m (12)
ρ: 16.57 g/cm3
final energy: -34.69 eV/cell
DOS(E_F): 1.151 states/eV/atom

Unit cell a=2.7753 b=5.2459 c=5.2084 alpha=115.84 beta=97.95 gamma=104.74
With the nearest neighbours (Å) after each atom.
Positions (direct):
Co  0.0000  0.5000  0.0000  2 Tl 2.64, 2 Co 2.78, 4 W 2.78
Tl  0.5000  0.0000  0.0000  2 Co 2.64, 2 Tl 2.78, 4 W 2.78
W  0.5000  0.5000  0.5000  4 W 2.64-2.78, 2 Tl 2.78, 2 Co 2.78
W  0.0000  0.0000  0.5000  4 W 2.64-2.78, 2 Co 2.78, 2 Tl 2.78

(11)
YTlCo: relaxed, GGA-PBEsol.

Values from the calculation:
formation energy: 441 meV/atom
crystal system: cubic
SG: F-43m (216)
ρ: 8.25 g/cm3
final energy: -15.87 eV/cell
DOS(E_F): 1.188 states/eV/atom

Unit cell a=4.6447 b=4.6447 c=4.6447 alpha=60.00 beta=60.00 gamma=60.00
With the nearest neighbours (Å) after each atom.
Positions (direct):
Co  0.5000  0.5000  0.5000  4 Tl 2.84
Tl  0.2500  0.2500  0.2500  4 Co 2.84, 4 Y 2.84
Y  0.0000  0.0000  0.0000  4 Tl 2.84

(12)
Tl2ZnCo: relaxed, GGA-PBEsol.

Values from the calculation:
formation energy: 395 meV/atom
crystal system: trigonal
ΔE to the lowest computed polymorph: 0 meV/atom
SG: R3m (160)
ρ: 11.41 g/cm3
final energy: -13.00 eV/cell
DOS(E_F): 0.807 states/eV/atom

Unit cell a=3.1825 b=3.1825 c=9.0373 alpha=79.86 beta=79.86 gamma=60.00
With the nearest neighbours (Å) after each atom.
Positions (direct):
Co  0.2427  0.2427  0.2718  3 Zn 2.43, 3 Tl 2.68
Tl  0.9831  0.9831  0.0508  3 Co 2.68
Tl  0.7579  0.7579  0.7263  3 Zn 3.05, 9 Tl 3.18-3.41
Zn  0.5163  0.5163  0.4512  3 Co 2.43

(13)
TlZn2Co: relaxed, GGA-PBEsol.

Values from the calculation:
formation energy: 326 meV/atom
crystal system: trigonal
ΔE to the lowest computed polymorph: 37 meV/atom
SG: R-3m (166)
ρ: 9.81 g/cm3
final energy: -12.23 eV/cell
DOS(E_F): 0.826 states/eV/atom

Unit cell a=2.9547 b=2.9547 c=8.9842 alpha=80.54 beta=80.54 gamma=60.00
With the nearest neighbours (Å) after each atom.
Positions (direct):
Co  0.5000  0.5000  0.5000  6 Zn 2.45
Tl  0.0000  0.0000  0.0000  6 Tl 2.95, 6 Zn 3.15
Zn  0.2333  0.2333  0.3002  3 Co 2.45
Zn  0.7667  0.7667  0.6998  3 Co 2.45

(14)
TlZn2Co2: relaxed, GGA-PBEsol.

Values from the calculation:
formation energy: 349 meV/atom
crystal system: tetragonal
SG: I4/mmm (139)
ρ: 10.28 g/cm3
final energy: -19.52 eV/cell
DOS(E_F): 1.357 states/eV/atom

Unit cell a=3.5785 b=3.5785 c=6.2523 alpha=106.63 beta=106.63 gamma=90.00
With the nearest neighbours (Å) after each atom.
Positions (direct):
Tl  0.0000  0.0000  0.0000  8 Co 2.77
Co  0.4014  0.4014  0.8028  1 Co 2.25, 4 Zn 2.49
Co  0.5986  0.5986  0.1972  1 Co 2.25, 4 Zn 2.49
Zn  0.2500  0.7500  0.5000  4 Co 2.49, 4 Zn 2.53
Zn  0.7500  0.2500  0.5000  4 Co 2.49, 4 Zn 2.53

(15)
TlZnCo3: relaxed, GGA-PBEsol.

Values from the calculation:
formation energy: 1116 meV/atom
crystal system: cubic
SG: Pm-3m (221)
ρ: 9.28 g/cm3
final energy: -21.84 eV/cell
DOS(E_F): 2.281 states/eV/atom

Unit cell a=4.3066 b=4.3066 c=4.3066 alpha=90.00 beta=90.00 gamma=90.00
With the nearest neighbours (Å) after each atom.
Positions (direct):
Tl  0.5000  0.5000  0.5000  12 Co 3.05
Co  0.0000  0.5000  0.0000  2 Zn 2.15
Co  0.0000  0.0000  0.5000  2 Zn 2.15
Co  0.5000  0.0000  0.0000  2 Zn 2.15
Zn  0.0000  0.0000  0.0000  6 Co 2.15

(16)
Tl2ZnCo: relaxed, GGA-PBEsol.

Values from the calculation:
formation energy: 469 meV/atom
crystal system: tetragonal
ΔE to the lowest computed polymorph: 74 meV/atom
SG: P4/mmm (123)
ρ: 12.12 g/cm3
final energy: -12.70 eV/cell
DOS(E_F): 0.538 states/eV/atom

Unit cell a=3.4017 b=3.4017 c=6.3103 alpha=90.00 beta=90.00 gamma=90.00
With the nearest neighbours (Å) after each atom.
Positions (direct):
Co  0.5000  0.5000  0.5000  8 Tl 2.83, 2 Zn 3.16
Tl  0.0000  0.0000  0.7360  4 Co 2.83, 4 Zn 2.93, 1 Tl 2.98
Tl  0.0000  0.0000  0.2640  4 Co 2.83, 4 Zn 2.93, 1 Tl 2.98
Zn  0.5000  0.5000  0.0000  8 Tl 2.93, 2 Co 3.16

(17)
Tl2ZnCo: relaxed, GGA-PBEsol.

Values from the calculation:
formation energy: 504 meV/atom
crystal system: tetragonal
ΔE to the lowest computed polymorph: 109 meV/atom
SG: I-4m2 (119)
ρ: 12.18 g/cm3
final energy: -12.56 eV/cell
DOS(E_F): 0.627 states/eV/atom

Unit cell a=4.0069 b=4.0069 c=5.3410 alpha=112.03 beta=112.03 gamma=90.00
With the nearest neighbours (Å) after each atom.
Positions (direct):
Co  0.2500  0.7500  0.5000  8 Tl 2.83-3.02, 4 Zn 3.02
Tl  0.0000  0.0000  0.0000  4 Zn 2.83, 4 Tl 3.02, 4 Co 3.02
Tl  0.7500  0.2500  0.5000  4 Co 2.83, 4 Tl 3.02, 4 Zn 3.02
Zn  0.5000  0.5000  0.0000  8 Tl 2.83-3.02, 4 Co 3.02

(18)
TlZn2Co: relaxed, GGA-PBEsol.

Values from the calculation:
formation energy: 289 meV/atom
crystal system: tetragonal
ΔE to the lowest computed polymorph: 0 meV/atom
SG: P4/mmm (123)
ρ: 11.08 g/cm3
final energy: -12.38 eV/cell
DOS(E_F): 0.723 states/eV/atom

Unit cell a=3.8317 b=3.8317 c=4.0221 alpha=90.00 beta=90.00 gamma=90.00
With the nearest neighbours (Å) after each atom.
Positions (direct):
Co  0.5000  0.5000  0.5000  4 Tl 2.71, 8 Zn 2.78
Tl  0.0000  0.0000  0.5000  4 Co 2.71, 8 Zn 2.78
Zn  0.0000  0.5000  0.0000  4 Zn 2.71, 4 Tl 2.78, 4 Co 2.78
Zn  0.5000  0.0000  0.0000  4 Zn 2.71, 4 Tl 2.78, 4 Co 2.78

(19)
ZrTlCo2: relaxed, GGA-PBEsol.

Values from the calculation:
formation energy: 99 meV/atom
crystal system: tetragonal
ΔE to the lowest computed polymorph: 41 meV/atom
SG: P4mm (99)
ρ: 10.73 g/cm3
final energy: -26.80 eV/cell
DOS(E_F): 0.769 states/eV/atom

Unit cell a=3.0792 b=3.0792 c=6.7470 alpha=90.00 beta=90.00 gamma=90.00
With the nearest neighbours (Å) after each atom.
Positions (direct):
Tl  0.0000  0.0000  0.4575  5 Co 2.78-2.81, 4 Tl 3.08
Co  0.0000  0.0000  0.0453  4 Co 2.40
Co  0.5000  0.5000  0.1936  4 Co 2.40, 1 Zr 2.63
Zr  0.5000  0.5000  0.8036  5 Co 2.63-2.72

(20)
ZrTlCo2: relaxed, GGA-PBEsol.

Values from the calculation:
formation energy: 58 meV/atom
crystal system: tetragonal
ΔE to the lowest computed polymorph: 0 meV/atom
SG: I-4m2 (119)
ρ: 11.32 g/cm3
final energy: -26.96 eV/cell
DOS(E_F): 0.376 states/eV/atom

Unit cell a=3.7078 b=3.7099 c=5.1297 alpha=111.20 beta=111.19 gamma=90.00
With the nearest neighbours (Å) after each atom.
Positions (direct):
Tl  0.5000  0.0000  0.9999  8 Co 2.62-2.88, 4 Zr 2.88
Co  0.0000  0.5000  0.0001  4 Tl 2.62, 4 Co 2.88, 4 Zr 2.88
Co  0.7500  0.7500  0.4999  4 Zr 2.62, 4 Co 2.88, 4 Tl 2.88
Zr  0.2500  0.2500  0.5000  8 Co 2.62-2.88, 4 Tl 2.88